Material: GaMo2C
Method: DFT, PBE
State: optimized geometry

Properties
Electronic total energy   -8.45 eV per atom
Energy of formation   0.02 eV per atom
Fermi-level density of states   0.57 states/eV/atom
E above lowest polymorph   148 meV per atom

Unit cell a=9.6798 b=2.9804 c=8.9711 alpha=90.00 beta=121.07 gamma=90.00
With the nearest neighbours (Å) after each atom.
Space group Cm (No. 8)
Asymmetric unit:
Ga: 0.0000 0.0000 0.0000 x2  4 Mo 2.65-2.90, 3 Ga 2.65-2.95
Ga: 0.1977 0.0000 0.8782 x2  3 Ga 2.65-2.95, 5 Mo 2.73-2.85
Mo: 0.1495 0.0000 0.3439 x2  3 C 2.16-2.19
Mo: 0.2555 0.5000 0.6610 x2  2 C 2.05
Mo: 0.2992 0.5000 0.1761 x2  2 C 2.17
Mo: 0.4589 0.5000 0.5170 x2  2 C 2.09
C: 0.3662 0.0000 0.6036 x2  5 Mo 2.05-2.19
C: 0.4809 0.0000 0.3270 x2  6 Mo 2.16-2.36